Ho2Pu2Se7 | PBE-GGA | relaxed

Summary:
Total magnetic moment   8.9 μB/f.u.
Uncorrected formation energy   -1375 meV per atom

Cell lengths 4.907, 4.907, 13.034 Å; angles 90.00, 90.00, 90.00 degrees
Space group P-4m2 (No. 115)
Unique sites:
Ho: 0.000 0.500 0.138
Pu: 0.000 0.500 0.624
Se: 0.000 0.000 0.230
Se: 0.000 0.000 0.500
Se: 0.500 0.500 0.000
Se: 0.500 0.500 0.256
Se: 0.500 0.500 0.500